# 1
# SiAgN3 | the Alexandria database | PBE-GGA | optimized geometry
# ΔE_f (raw) (eV per atom): 0.984
data_SiAgN3
_cell_length_a 3.648
_cell_length_b 3.648
_cell_length_c 3.648
_cell_angle_alpha 90.00
_cell_angle_beta 90.00
_cell_angle_gamma 90.00
_symmetry_space_group_name_H-M 'P m -3 m'
_symmetry_Int_Tables_number 221
_symmetry_space_group_name_Hall '-P 4 2 3'
loop_
_atom_site_label
_atom_site_type_symbol
_atom_site_fract_x
_atom_site_fract_y
_atom_site_fract_z
Si1 Si 0.000 0.000 0.000
Ag1 Ag 0.500 0.500 0.500
N1 N 0.000 0.000 0.500

---

# 2
# Pm5Pr4Pb2 | the Alexandria database | PBE-GGA | optimized geometry
# Energy relative to the elements (eV/atom): 0.151
data_Pm5Pr4Pb2
_cell_length_a 5.4170
_cell_length_b 5.4170
_cell_length_c 47.6457
_cell_angle_alpha 90.00
_cell_angle_beta 90.00
_cell_angle_gamma 120.00
_symmetry_space_group_name_H-M 'R -3 m'
_symmetry_Int_Tables_number 166
_symmetry_space_group_name_Hall '-R 3 2"'
loop_
_atom_site_label
_atom_site_type_symbol
_atom_site_fract_x
_atom_site_fract_y
_atom_site_fract_z
Pm1 Pm 0.0000 0.0000 0.0000
Pm2 Pm 0.0000 0.0000 0.1482
Pm3 Pm 0.0000 0.0000 0.3038
Pr1 Pr 0.0000 0.0000 0.0731
Pr2 Pr 0.0000 0.0000 0.2254
Pb1 Pb 0.0000 0.0000 0.3786

---

# 3
# CuNiRhW | the Alexandria database | PBE-GGA | optimized geometry
# Energy relative to the elements (eV/atom): 0.092
data_CuNiRhW
_cell_length_a 5.995
_cell_length_b 5.995
_cell_length_c 5.995
_cell_angle_alpha 90.00
_cell_angle_beta 90.00
_cell_angle_gamma 90.00
_symmetry_space_group_name_H-M 'F -4 3 m'
_symmetry_Int_Tables_number 216
_symmetry_space_group_name_Hall 'F -4 2 3'
loop_
_atom_site_label
_atom_site_type_symbol
_atom_site_fract_x
_atom_site_fract_y
_atom_site_fract_z
Cu1 Cu 0.000 0.000 0.000
Ni1 Ni 0.250 0.250 0.250
Rh1 Rh 0.250 0.250 0.750
W1 W 0.000 0.000 0.500

---

# 4
# Zr2TiTc2 | the Alexandria database | PBE-GGA | optimized geometry
# E above lowest polymorph (eV/atom): 0.640
# Energy relative to the elements (eV/atom): 0.438
data_Zr2TiTc2
_cell_length_a 4.259
_cell_length_b 4.259
_cell_length_c 11.363
_cell_angle_alpha 90.00
_cell_angle_beta 90.00
_cell_angle_gamma 90.00
_symmetry_space_group_name_H-M 'I 4/m m m'
_symmetry_Int_Tables_number 139
_symmetry_space_group_name_Hall '-I 4 2'
loop_
_atom_site_label
_atom_site_type_symbol
_atom_site_fract_x
_atom_site_fract_y
_atom_site_fract_z
Zr1 Zr 0.000 0.500 0.250
Ti1 Ti 0.000 0.000 0.000
Tc1 Tc 0.000 0.000 0.398

---

# 5
# YBi3Pt | the Alexandria database | PBE-GGA | optimized geometry
# E above lowest polymorph (eV/atom): 0.000
# Energy relative to the elements (eV/atom): 0.066
data_YBi3Pt
_cell_length_a 5.441
_cell_length_b 5.441
_cell_length_c 5.441
_cell_angle_alpha 90.00
_cell_angle_beta 90.00
_cell_angle_gamma 90.00
_symmetry_space_group_name_H-M 'P m -3 m'
_symmetry_Int_Tables_number 221
_symmetry_space_group_name_Hall '-P 4 2 3'
loop_
_atom_site_label
_atom_site_type_symbol
_atom_site_fract_x
_atom_site_fract_y
_atom_site_fract_z
Y1 Y 0.000 0.000 0.000
Bi1 Bi 0.000 0.500 0.500
Pt1 Pt 0.500 0.500 0.500

---

# 6
# Ag4SnAu7 | the Alexandria database | PBE-GGA | optimized geometry
# Energy relative to the elements (eV/atom): 0.074
data_Ag4SnAu7
_cell_length_a 10.454
_cell_length_b 5.175
_cell_length_c 10.248
_cell_angle_alpha 90.00
_cell_angle_beta 118.99
_cell_angle_gamma 90.00
_symmetry_space_group_name_H-M 'C 1 2/m 1'
_symmetry_Int_Tables_number 12
_symmetry_space_group_name_Hall '-C 2y'
loop_
_atom_site_label
_atom_site_type_symbol
_atom_site_fract_x
_atom_site_fract_y
_atom_site_fract_z
Ag1 Ag 0.084 0.000 0.313
Ag2 Ag 0.178 0.500 0.771
Sn1 Sn 0.000 0.500 0.000
Au1 Au 0.000 0.000 0.000
Au2 Au 0.116 0.500 0.464
Au3 Au 0.161 0.000 0.618
Au4 Au 0.211 0.000 0.912

---

# 7
# CuGeBr4 | the Alexandria database | PBE-GGA | optimized geometry
# ΔE_f (raw) (eV per atom): -0.356
data_CuGeBr4
_cell_length_a 6.569
_cell_length_b 6.589
_cell_length_c 11.273
_cell_angle_alpha 90.00
_cell_angle_beta 90.00
_cell_angle_gamma 90.00
_symmetry_space_group_name_H-M 'P 2 2 2'
_symmetry_Int_Tables_number 16
_symmetry_space_group_name_Hall 'P 2 2'
loop_
_atom_site_label
_atom_site_type_symbol
_atom_site_fract_x
_atom_site_fract_y
_atom_site_fract_z
Cu1 Cu 0.000 0.000 0.000
Cu2 Cu 0.000 0.500 0.500
Ge1 Ge 0.000 0.000 0.500
Ge2 Ge 0.500 0.000 0.000
Br1 Br 0.205 0.258 0.383
Br2 Br 0.243 0.206 0.883

---

# 8
# BIrAu | the Alexandria database | PBE-GGA | optimized geometry
# Energy relative to the elements (eV/atom): 0.111
data_BIrAu
_cell_length_a 6.104
_cell_length_b 3.493
_cell_length_c 4.490
_cell_angle_alpha 90.00
_cell_angle_beta 117.19
_cell_angle_gamma 90.00
_symmetry_space_group_name_H-M 'C 1 m 1'
_symmetry_Int_Tables_number 8
_symmetry_space_group_name_Hall 'C -2y'
loop_
_atom_site_label
_atom_site_type_symbol
_atom_site_fract_x
_atom_site_fract_y
_atom_site_fract_z
B1 B 0.000 0.000 0.000
Ir1 Ir 0.203 0.500 0.105
Au1 Au 0.203 0.000 0.604

---

# 9
# Na2Be2O3 | the Alexandria database | PBE-GGA | optimized geometry
# E above lowest polymorph (eV/atom): 0.000
# ΔE_f (raw) (eV per atom): -2.126
data_Na2Be2O3
_cell_length_a 2.910
_cell_length_b 4.946
_cell_length_c 5.290
_cell_angle_alpha 103.50
_cell_angle_beta 105.93
_cell_angle_gamma 107.09
_symmetry_space_group_name_H-M 'P -1'
_symmetry_Int_Tables_number 2
_symmetry_space_group_name_Hall '-P 1'
loop_
_atom_site_label
_atom_site_type_symbol
_atom_site_fract_x
_atom_site_fract_y
_atom_site_fract_z
Na1 Na 0.218 0.294 0.140
Be1 Be 0.122 0.804 0.440
O1 O 0.000 0.500 0.500
O2 O 0.426 0.134 0.718

---

# 10
# K3Cd6Hg | the Alexandria database | PBE-GGA | optimized geometry
# Energy relative to the elements (eV/atom): -0.069
data_K3Cd6Hg
_cell_length_a 13.727
_cell_length_b 6.058
_cell_length_c 7.830
_cell_angle_alpha 90.00
_cell_angle_beta 105.29
_cell_angle_gamma 90.00
_symmetry_space_group_name_H-M 'C 1 2/m 1'
_symmetry_Int_Tables_number 12
_symmetry_space_group_name_Hall '-C 2y'
loop_
_atom_site_label
_atom_site_type_symbol
_atom_site_fract_x
_atom_site_fract_y
_atom_site_fract_z
K1 K 0.000 0.000 0.000
K2 K 0.056 0.500 0.301
Cd1 Cd 0.201 0.000 0.447
Cd2 Cd 0.206 0.251 0.807
Hg1 Hg 0.000 0.000 0.500

---

# 11
Entry from the Alexandria database: an optimized crystal structure of MnVTc2H (PBE-GGA).

Structure (CIF):
```
data_MnVTc2H
_cell_length_a 4.149
_cell_length_b 4.149
_cell_length_c 3.320
_cell_angle_alpha 90.00
_cell_angle_beta 90.00
_cell_angle_gamma 90.00
_symmetry_space_group_name_H-M 'P 4/m m m'
_symmetry_Int_Tables_number 123
_symmetry_space_group_name_Hall '-P 4 2'
loop_
_atom_site_label
_atom_site_type_symbol
_atom_site_fract_x
_atom_site_fract_y
_atom_site_fract_z
Mn1 Mn 0.000 0.000 0.000
V1 V 0.500 0.500 0.000
Tc1 Tc 0.000 0.500 0.500
H1 H 0.000 0.000 0.500
```

---

# 12
# La2Tb2Pm4Y | the Alexandria database | PBE-GGA | optimized geometry
# Energy relative to the elements (eV/atom): 0.006
data_La2Tb2Pm4Y
_cell_length_a 19.068
_cell_length_b 3.681
_cell_length_c 9.761
_cell_angle_alpha 90.00
_cell_angle_beta 115.73
_cell_angle_gamma 90.00
_symmetry_space_group_name_H-M 'C 1 2/m 1'
_symmetry_Int_Tables_number 12
_symmetry_space_group_name_Hall '-C 2y'
loop_
_atom_site_label
_atom_site_type_symbol
_atom_site_fract_x
_atom_site_fract_y
_atom_site_fract_z
La1 La 0.166 0.000 0.498
Tb1 Tb 0.148 0.500 0.166
Pm1 Pm 0.019 0.000 0.836
Pm2 Pm 0.186 0.500 0.835
Y1 Y 0.000 0.500 0.500

---

# 13
# Zn2GeC | the Alexandria database | PBE-GGA | optimized geometry
# E above lowest polymorph (eV/atom): 0.426
# Energy relative to the elements (eV/atom): 1.273
data_Zn2GeC
_cell_length_a 6.128
_cell_length_b 6.128
_cell_length_c 6.128
_cell_angle_alpha 90.00
_cell_angle_beta 90.00
_cell_angle_gamma 90.00
_symmetry_space_group_name_H-M 'F m -3 m'
_symmetry_Int_Tables_number 225
_symmetry_space_group_name_Hall '-F 4 2 3'
loop_
_atom_site_label
_atom_site_type_symbol
_atom_site_fract_x
_atom_site_fract_y
_atom_site_fract_z
Zn1 Zn 0.250 0.250 0.250
Ge1 Ge 0.000 0.000 0.000
C1 C 0.000 0.000 0.500

---

# 14
# Fe2PbBr | the Alexandria database | PBE-GGA | optimized geometry
# E above lowest polymorph (eV/atom): 0.549
# ΔE_f (raw) (eV per atom): 0.744
data_Fe2PbBr
_cell_length_a 3.216
_cell_length_b 4.493
_cell_length_c 5.523
_cell_angle_alpha 90.00
_cell_angle_beta 90.00
_cell_angle_gamma 90.00
_symmetry_space_group_name_H-M 'P m m m'
_symmetry_Int_Tables_number 47
_symmetry_space_group_name_Hall '-P 2 2'
loop_
_atom_site_label
_atom_site_type_symbol
_atom_site_fract_x
_atom_site_fract_y
_atom_site_fract_z
Fe1 Fe 0.000 0.000 0.000
Fe2 Fe 0.500 0.000 0.500
Pb1 Pb 0.000 0.500 0.500
Br1 Br 0.500 0.500 0.000

---

# 15
# Na3Cd4Pb2 | the Alexandria database | PBE-GGA | optimized geometry
# E above lowest polymorph (eV/atom): 0.004
# Energy relative to the elements (eV/atom): -0.104
data_Na3Cd4Pb2
_cell_length_a 15.611
_cell_length_b 9.072
_cell_length_c 6.799
_cell_angle_alpha 90.00
_cell_angle_beta 90.00
_cell_angle_gamma 90.00
_symmetry_space_group_name_H-M 'C 1 2/c 1'
_symmetry_Int_Tables_number 15
_symmetry_space_group_name_Hall '-C 2yc'
loop_
_atom_site_label
_atom_site_type_symbol
_atom_site_fract_x
_atom_site_fract_y
_atom_site_fract_z
Na1 Na 0.000 0.000 0.250
Na2 Na 0.166 0.500 0.250
Cd1 Cd 0.004 0.339 0.000
Cd2 Cd 0.167 0.176 0.001
Pb1 Pb 0.163 0.164 0.501

---

# 16
# La4CdAg2Rh | the Alexandria database | PBE-GGA | optimized geometry
# Energy relative to the elements (eV/atom): -0.404
data_La4CdAg2Rh
_cell_length_a 5.4072
_cell_length_b 5.4072
_cell_length_c 25.7891
_cell_angle_alpha 90.00
_cell_angle_beta 90.00
_cell_angle_gamma 120.00
_symmetry_space_group_name_H-M 'R -3 m'
_symmetry_Int_Tables_number 166
_symmetry_space_group_name_Hall '-R 3 2"'
loop_
_atom_site_label
_atom_site_type_symbol
_atom_site_fract_x
_atom_site_fract_y
_atom_site_fract_z
La1 La 0.0000 0.0000 0.1125
La2 La 0.0000 0.0000 0.3657
Cd1 Cd 0.0000 0.0000 0.5000
Ag1 Ag 0.0000 0.0000 0.2376
Rh1 Rh 0.0000 0.0000 0.0000

---

# 17
# LaAsSe2 | the Alexandria database | PBE-GGA | optimized geometry
# ΔE_f (raw) (eV per atom): -0.505
data_LaAsSe2
_cell_length_a 7.278
_cell_length_b 7.278
_cell_length_c 7.278
_cell_angle_alpha 90.00
_cell_angle_beta 90.00
_cell_angle_gamma 90.00
_symmetry_space_group_name_H-M 'F -4 3 m'
_symmetry_Int_Tables_number 216
_symmetry_space_group_name_Hall 'F -4 2 3'
loop_
_atom_site_label
_atom_site_type_symbol
_atom_site_fract_x
_atom_site_fract_y
_atom_site_fract_z
La1 La 0.000 0.000 0.000
As1 As 0.250 0.250 0.250
Se1 Se 0.000 0.000 0.500
Se2 Se 0.250 0.250 0.750

---

# 18
# K3Ag | the Alexandria database | PBE-GGA | optimized geometry
# E above lowest polymorph (eV/atom): 0.048
# Energy relative to the elements (eV/atom): 0.076
data_K3Ag
_cell_length_a 4.6437
_cell_length_b 4.6437
_cell_length_c 12.1672
_cell_angle_alpha 90.00
_cell_angle_beta 90.00
_cell_angle_gamma 120.00
_symmetry_space_group_name_H-M 'P -6 m 2'
_symmetry_Int_Tables_number 187
_symmetry_space_group_name_Hall 'P -6 2'
loop_
_atom_site_label
_atom_site_type_symbol
_atom_site_fract_x
_atom_site_fract_y
_atom_site_fract_z
K1 K 0.0000 0.0000 0.0000
K2 K 0.6667 0.3333 0.3201
Ag1 Ag 0.0000 0.0000 0.5000

---

We obtain total magnetic moment values of 0.0, 1.0, 0.0, 0.9, 0.0, 0.0, 0.7, 0.0, 0.0, 0.0, 2.9, 0.0, 0.0, 5.6, 0.0, 0.0, 0.0, 0.0 μB/f.u. for the records listed above, in that order.
We obtain theoretical density values of 6089, 7007, 12609, 6868, 9390, 13210, 3102, 15602, 2828, 5247, 8801, 6805, 6220, 8297, 6436, 7527, 6406, 1645 kg/m³ for the records listed above, in that order.
We obtain E values of -5.666, -4.421, -7.453, -8.707, -4.764, -3.122, -2.923, -6.161, -5.692, -0.977, -8.504, -4.948, -2.824, -4.833, -1.774, -4.614, -4.641, -1.460 eV/atom for the records listed above, in that order.